Below is crystalline YFe4Si2 at its relaxed geometry, with properties calculated at the PBE level.

Properties
Final energy (eV/cell): -107.5
Symmetry: P4_2/mnm (136)

```
YFe4Si2
1.0
7.073 0.000 0.000
0.000 7.073 0.000
0.000 0.000 3.724
Y Fe Si
2 8 4
Cartesian
0.000 0.000 0.000
3.536 3.536 1.862
0.597 2.502 1.862
1.034 4.133 0.000
2.502 0.597 1.862
2.939 6.039 0.000
4.133 1.034 0.000
4.570 6.476 1.862
6.039 2.939 0.000
6.476 4.570 1.862
1.553 5.520 1.862
1.983 1.983 0.000
5.089 5.089 0.000
5.520 1.553 1.862
```